Record 1
! LaTaMnCl2 PBE-GGA relaxed; values from VASP
! Raw total energy ... -5.062 eV/atom
! Raw formation energy ... 0.866 eV per atom
&SYSTEM
  ibrav = 0, nat = 5, ntyp = 4
/
ATOMIC_SPECIES
La 138.91 La.upf
Ta 180.95 Ta.upf
Mn 54.94 Mn.upf
Cl 35.45 Cl.upf
ATOMIC_POSITIONS angstrom
La 0.0000 0.0000 0.0000
Ta 2.3142 2.3142 0.0000
Mn 0.0000 0.0000 2.5537
Cl 0.0000 2.3142 2.5537
Cl 2.3142 0.0000 2.5537
CELL_PARAMETERS angstrom
4.6284 0.0000 0.0000
0.0000 4.6284 0.0000
0.0000 0.0000 5.1074

Record 2
! LiCeNdRh PBE-GGA relaxed; values from VASP
! Raw total energy ... -5.257 eV/atom
&SYSTEM
  ibrav = 0, nat = 4, ntyp = 4
/
ATOMIC_SPECIES
Li 6.94 Li.upf
Ce 140.12 Ce.upf
Nd 144.24 Nd.upf
Rh 102.91 Rh.upf
ATOMIC_POSITIONS angstrom
Li 0.0000 0.0000 0.0000
Ce 1.7892 1.7892 1.7892
Nd 5.3675 5.3675 5.3675
Rh 3.5783 3.5783 3.5783
CELL_PARAMETERS angstrom
0.0000 3.5783 3.5783
3.5783 0.0000 3.5783
3.5783 3.5783 0.0000

Record 3
! Ho5ScTl6 PBE-GGA relaxed; values from VASP
! Raw total energy ... -3.928 eV/atom
&SYSTEM
  ibrav = 0, nat = 12, ntyp = 3
/
ATOMIC_SPECIES
Ho 164.93 Ho.upf
Sc 44.96 Sc.upf
Tl 204.38 Tl.upf
ATOMIC_POSITIONS angstrom
Ho 0.0000 0.0000 0.0000
Ho 2.6719 2.7050 0.0000
Ho 2.6719 2.6568 3.7018
Ho 2.6719 -2.6568 3.7018
Ho 2.6719 -2.7050 0.0000
Sc 0.0000 0.0000 3.7018
Tl 2.6719 5.3903 1.8835
Tl 2.6719 5.3903 5.5201
Tl 2.6719 0.0000 1.8816
Tl 2.6719 0.0000 5.5220
Tl 2.6719 -5.3903 1.8835
Tl 2.6719 -5.3903 5.5201
CELL_PARAMETERS angstrom
2.6719 -8.0138 0.0000
2.6719 8.0138 0.0000
0.0000 0.0000 7.4035

Record 4
! K2MnCo2 PBE-GGA relaxed; values from VASP
! Raw total energy ... -3.292 eV/atom
&SYSTEM
  ibrav = 0, nat = 5, ntyp = 3
/
ATOMIC_SPECIES
K 39.10 K.upf
Mn 54.94 Mn.upf
Co 58.93 Co.upf
ATOMIC_POSITIONS angstrom
K 0.0000 0.0000 1.3503
K 0.0000 0.0000 7.9848
Mn 0.0000 0.0000 4.6676
Co 2.6816 0.0000 2.3338
Co 0.0000 2.6816 2.3338
CELL_PARAMETERS angstrom
-2.6816 2.6816 4.6676
2.6816 -2.6816 4.6676
2.6816 2.6816 -4.6676

Record 5
! LaSmAg4 PBE-GGA relaxed; values from VASP
! Raw total energy ... -3.668 eV/atom
! Distance to the lowest polymorph of the same formula ... 112.7 meV per atom
&SYSTEM
  ibrav = 0, nat = 6, ntyp = 3
/
ATOMIC_SPECIES
La 138.91 La.upf
Sm 150.36 Sm.upf
Ag 107.87 Ag.upf
ATOMIC_POSITIONS angstrom
La 0.0000 0.0000 0.0000
Sm 6.1599 6.1599 6.1599
Ag 3.0825 3.0825 3.0825
Ag 5.1307 5.1307 3.0825
Ag 5.1307 3.0825 5.1307
Ag 3.0825 5.1307 5.1307
CELL_PARAMETERS angstrom
0.0000 4.1066 4.1066
4.1066 0.0000 4.1066
4.1066 4.1066 0.0000

Record 6
! TaBe4 PBE-GGA relaxed; values from VASP
! Raw total energy ... -5.559 eV/atom
! Distance to the lowest polymorph of the same formula ... 0.0 meV per atom
&SYSTEM
  ibrav = 0, nat = 5, ntyp = 2
/
ATOMIC_SPECIES
Ta 180.95 Ta.upf
Be 9.01 Be.upf
ATOMIC_POSITIONS angstrom
Ta 0.0000 0.0000 0.0000
Be 1.7008 0.0000 2.1247
Be 0.0000 0.0000 3.2653
Be 0.0000 0.0000 5.2334
Be 0.0000 1.7008 2.1247
CELL_PARAMETERS angstrom
-1.7008 1.7008 4.2493
1.7008 -1.7008 4.2493
1.7008 1.7008 -4.2493